DFT (GGA-PBE) results for a relaxed structure of Sc4Zn2Os.

The structure in extended XYZ format:
```
7
Lattice="-2.5213 3.8886 0.3923 -0.9671 1.7300 4.2077 5.0525 5.9268 1.2950" Properties=species:S:1:pos:R:3 pbc="T T T"
Sc -1.1767 7.1264 4.5113
Sc 2.7409 4.4190 1.3837
Sc -1.5049 4.2810 3.0352
Sc 3.0690 7.2643 2.8598
Zn 1.2641 8.7183 4.4178
Zn 0.3001 2.8270 1.4772
Os 0.0000 0.0000 0.0000
```

## Properties
- Symmetry: R-3m
- Formation energy from the elements: -278 meV/atom
- Energy: -5.864 eV per atom